Record 1
# NaTlGa | Alexandria via LeMat-Bulk | GGA-PBE | relaxed
data_NaTlGa
_chemical_formula_sum 'Na2 Tl2 Ga2'
_space_group_name_H-M_alt 'P 1 m 1'
_space_group_IT_number 6
_cell_length_a 4.771
_cell_length_b 4.926
_cell_length_c 6.796
_cell_angle_alpha 90.00
_cell_angle_beta 110.42
_cell_angle_gamma 90.00
loop_
_space_group_symop_operation_xyz
'x,y,z'
'x,-y,z'
loop_
_atom_site_label
_atom_site_fract_x
_atom_site_fract_y
_atom_site_fract_z
_atom_site_occupancy
Na1 0.000 0.000 0.000 1
Na2 0.170 0.500 0.340 1
Tl1 0.502 0.500 0.003 1
Tl2 0.833 0.500 0.668 1
Ga1 0.315 0.000 0.630 1
Ga2 0.692 0.000 0.387 1
# excess energy over the best structure of this formula in the dataset	27	meV per atom
# magnetization	0.0	μB/f.u.
# calculated formation energy	-46.2	meV per atom

Record 2
# Na4Tl5Ga2 | Alexandria via LeMat-Bulk | GGA-PBE | relaxed
data_Na4Tl5Ga2
_chemical_formula_sum 'Na4 Tl5 Ga2'
_space_group_name_H-M_alt 'P 1 2/m 1'
_space_group_IT_number 10
_cell_length_a 8.226
_cell_length_b 3.448
_cell_length_c 10.452
_cell_angle_alpha 90.00
_cell_angle_beta 93.53
_cell_angle_gamma 90.00
loop_
_space_group_symop_operation_xyz
'x,y,z'
'-x,-y,-z'
'-x,y,-z'
'x,-y,z'
loop_
_atom_site_label
_atom_site_fract_x
_atom_site_fract_y
_atom_site_fract_z
_atom_site_occupancy
Na1 0.170 0.000 0.378 1
Na2 0.274 0.000 0.935 1
Tl1 0.175 0.500 0.661 1
Tl2 0.422 0.500 0.193 1
Tl3 0.500 0.500 0.500 1
Ga1 0.055 0.500 0.123 1
# magnetization	0.0	μB/f.u.
# calculated formation energy	-55.7	meV per atom

Record 3
# Na3TlGa | Alexandria via LeMat-Bulk | GGA-PBE | relaxed
data_Na3TlGa
_chemical_formula_sum 'Na3 Tl1 Ga1'
_space_group_name_H-M_alt 'P m -3 m'
_space_group_IT_number 221
_space_group_name_Hall '-P 4 2 3'
_cell_length_a 5.827
_cell_length_b 5.827
_cell_length_c 5.827
_cell_angle_alpha 90.00
_cell_angle_beta 90.00
_cell_angle_gamma 90.00
loop_
_atom_site_label
_atom_site_fract_x
_atom_site_fract_y
_atom_site_fract_z
_atom_site_occupancy
Na1 0.000 0.000 0.500 1
Tl1 0.000 0.000 0.000 1
Ga1 0.500 0.500 0.500 1
# excess energy over the best structure of this formula in the dataset	327	meV per atom
# magnetization	0.0	μB/f.u.
# calculated formation energy	330.3	meV per atom

Record 4
# NaTlGa3 | Alexandria via LeMat-Bulk | GGA-PBE | relaxed
data_NaTlGa3
_chemical_formula_sum 'Na1 Tl1 Ga3'
_space_group_name_H-M_alt 'P m -3 m'
_space_group_IT_number 221
_space_group_name_Hall '-P 4 2 3'
_cell_length_a 5.541
_cell_length_b 5.541
_cell_length_c 5.541
_cell_angle_alpha 90.00
_cell_angle_beta 90.00
_cell_angle_gamma 90.00
loop_
_atom_site_label
_atom_site_fract_x
_atom_site_fract_y
_atom_site_fract_z
_atom_site_occupancy
Na1 0.000 0.000 0.000 1
Tl1 0.500 0.500 0.500 1
Ga1 0.000 0.500 0.500 1
# excess energy over the best structure of this formula in the dataset	0	meV per atom
# magnetization	0.0	μB/f.u.
# calculated formation energy	440.2	meV per atom

Record 5
# Na5Tl2Ga | Alexandria via LeMat-Bulk | GGA-PBE | relaxed
data_Na5Tl2Ga
_chemical_formula_sum 'Na10 Tl4 Ga2'
_space_group_name_H-M_alt 'P b a m'
_space_group_IT_number 55
_cell_length_a 7.240
_cell_length_b 14.034
_cell_length_c 4.398
_cell_angle_alpha 90.00
_cell_angle_beta 90.00
_cell_angle_gamma 90.00
loop_
_space_group_symop_operation_xyz
'x,y,z'
'-x,-y,-z'
'-x,-y,z'
'x,y,-z'
'x+1/2,-y+1/2,-z'
'-x+1/2,y+1/2,z'
'-x+1/2,y+1/2,-z'
'x+1/2,-y+1/2,z'
loop_
_atom_site_label
_atom_site_fract_x
_atom_site_fract_y
_atom_site_fract_z
_atom_site_occupancy
Na1 0.000 0.000 0.000 1
Na2 0.016 0.253 0.000 1
Na3 0.244 0.381 0.500 1
Tl1 0.219 0.615 0.500 1
Ga1 0.000 0.500 0.000 1
# magnetization	0.0	μB/f.u.
# calculated formation energy	-51.4	meV per atom

Record 6
# NaTl2Ga | Alexandria via LeMat-Bulk | GGA-PBE | relaxed
data_NaTl2Ga
_chemical_formula_sum 'Na3 Tl6 Ga3'
_space_group_name_H-M_alt 'R 3 m'
_space_group_IT_number 160
_space_group_name_Hall 'R 3 -2"'
_cell_length_a 4.8871
_cell_length_b 4.8871
_cell_length_c 16.8480
_cell_angle_alpha 90.00
_cell_angle_beta 90.00
_cell_angle_gamma 120.00
loop_
_atom_site_label
_atom_site_fract_x
_atom_site_fract_y
_atom_site_fract_z
_atom_site_occupancy
Na1 0.0000 0.0000 0.0000 1
Tl1 0.0000 0.0000 0.5697 1
Tl2 0.0000 0.0000 0.7792 1
Ga1 0.0000 0.0000 0.1942 1
# magnetization	0.0	μB/f.u.
# calculated formation energy	-16.5	meV per atom